(i)
# FeCSeN2 (GGA-PBE, optimized geometry)
# - Theoretical density: 4.51 g/cm3
data_FeCSeN2
_chemical_formula_sum 'Fe1 C1 Se1 N2'
_symmetry_space_group_name_H-M 'P 4/m m m'
_symmetry_Int_Tables_number 123
_symmetry_space_group_name_Hall '-P 4 2'
_cell_length_a 3.436
_cell_length_b 3.436
_cell_length_c 5.455
_cell_angle_alpha 90.00
_cell_angle_beta 90.00
_cell_angle_gamma 90.00
loop_
_atom_site_label
_atom_site_type_symbol
_atom_site_fract_x
_atom_site_fract_y
_atom_site_fract_z
Fe1 Fe 0.000 0.000 0.000
C1 C 0.500 0.500 0.500
Se1 Se 0.000 0.000 0.500
N1 N 0.000 0.500 0.000

---

(ii)
# FeCSeN2 (GGA-PBE, optimized geometry)
# - Theoretical density: 5.88 g/cm3
data_FeCSeN2
_chemical_formula_sum 'Fe1 C1 Se1 N2'
_symmetry_space_group_name_H-M 'P 4/m m m'
_symmetry_Int_Tables_number 123
_symmetry_space_group_name_Hall '-P 4 2'
_cell_length_a 3.471
_cell_length_b 3.471
_cell_length_c 4.100
_cell_angle_alpha 90.00
_cell_angle_beta 90.00
_cell_angle_gamma 90.00
loop_
_atom_site_label
_atom_site_type_symbol
_atom_site_fract_x
_atom_site_fract_y
_atom_site_fract_z
Fe1 Fe 0.000 0.000 0.000
C1 C 0.500 0.500 0.500
Se1 Se 0.500 0.500 0.000
N1 N 0.000 0.500 0.500

---

Computed stability ranking, most favorable first: (i), (ii)

---

(i)
# FeTe2CN (GGA-PBE, optimized geometry)
# - Theoretical density: 5.68 g/cm3
data_FeTe2CN
_chemical_formula_sum 'Fe1 Te2 C1 N1'
_symmetry_space_group_name_H-M 'P 4/m m m'
_symmetry_Int_Tables_number 123
_symmetry_space_group_name_Hall '-P 4 2'
_cell_length_a 6.136
_cell_length_b 6.136
_cell_length_c 2.616
_cell_angle_alpha 90.00
_cell_angle_beta 90.00
_cell_angle_gamma 90.00
loop_
_atom_site_label
_atom_site_type_symbol
_atom_site_fract_x
_atom_site_fract_y
_atom_site_fract_z
Fe1 Fe 0.000 0.000 0.000
Te1 Te 0.000 0.500 0.500
C1 C 0.500 0.500 0.500
N1 N 0.500 0.500 0.000

---

(ii)
# FeTe2CN (GGA-PBE, optimized geometry)
# - Theoretical density: 6.41 g/cm3
data_FeTe2CN
_chemical_formula_sum 'Fe1 Te2 C1 N1'
_symmetry_space_group_name_H-M 'P 4/m m m'
_symmetry_Int_Tables_number 123
_symmetry_space_group_name_Hall '-P 4 2'
_cell_length_a 5.096
_cell_length_b 5.096
_cell_length_c 3.363
_cell_angle_alpha 90.00
_cell_angle_beta 90.00
_cell_angle_gamma 90.00
loop_
_atom_site_label
_atom_site_type_symbol
_atom_site_fract_x
_atom_site_fract_y
_atom_site_fract_z
Fe1 Fe 0.000 0.000 0.000
Te1 Te 0.000 0.500 0.000
C1 C 0.500 0.500 0.500
N1 N 0.000 0.000 0.500

---

Computed stability ranking, most favorable first: (i), (ii)

---

(i)
# Na3FeC (GGA-PBE, optimized geometry)
# - Theoretical density: 1.88 g/cm3
data_Na3FeC
_chemical_formula_sum 'Na3 Fe1 C1'
_symmetry_space_group_name_H-M 'P m -3 m'
_symmetry_Int_Tables_number 221
_symmetry_space_group_name_Hall '-P 4 2 3'
_cell_length_a 4.942
_cell_length_b 4.942
_cell_length_c 4.942
_cell_angle_alpha 90.00
_cell_angle_beta 90.00
_cell_angle_gamma 90.00
loop_
_atom_site_label
_atom_site_type_symbol
_atom_site_fract_x
_atom_site_fract_y
_atom_site_fract_z
Na1 Na 0.000 0.000 0.500
Fe1 Fe 0.500 0.500 0.500
C1 C 0.000 0.000 0.000

---

(ii)
# Na3FeC (GGA-PBE, optimized geometry)
# - Theoretical density: 1.51 g/cm3
data_Na3FeC
_chemical_formula_sum 'Na3 Fe1 C1'
_symmetry_space_group_name_H-M 'P m -3 m'
_symmetry_Int_Tables_number 221
_symmetry_space_group_name_Hall '-P 4 2 3'
_cell_length_a 5.318
_cell_length_b 5.318
_cell_length_c 5.318
_cell_angle_alpha 90.00
_cell_angle_beta 90.00
_cell_angle_gamma 90.00
loop_
_atom_site_label
_atom_site_type_symbol
_atom_site_fract_x
_atom_site_fract_y
_atom_site_fract_z
Na1 Na 0.000 0.000 0.500
Fe1 Fe 0.000 0.000 0.000
C1 C 0.500 0.500 0.500

---

Computed stability ranking, most favorable first: (i), (ii)